# 1
Material: Pm8GeRh3Br4
Method: DFT, PBE
State: optimized geometry

The structure in POSCAR format:
```
Pm8GeRh3Br4
1.0
7.2289 -4.1740 0.0000
7.2289 4.1740 0.0000
-4.8249 0.0000 7.6377
Pm Ge Rh Br
8 1 3 4
Direct
0.2203 0.7389 0.6976
0.2336 0.2336 0.7002
0.2611 0.2611 0.3024
0.2611 0.7797 0.3024
0.7389 0.2203 0.6976
0.7389 0.7389 0.6976
0.7664 0.7664 0.2998
0.7797 0.2611 0.3024
0.5000 0.5000 0.5000
0.0000 0.0000 0.5000
0.0000 0.5000 0.5000
0.5000 0.0000 0.5000
0.0000 0.0000 0.0000
0.0000 0.5000 0.0000
0.5000 0.0000 0.0000
0.5000 0.5000 0.0000
```

Output
E in eV/atom: -5.5031
Energy relative to the elements, uncorrected in eV/atom: -1.04
M_tot in μB/cell: 0.0

# 2
Material: Tb2SbIr
Method: DFT, PBE
State: optimized geometry

The structure in POSCAR format:
```
Tb2SbIr
1.0
6.1123 0.0000 0.0000
0.0000 4.2812 0.0000
-2.9156 0.0000 7.6523
Tb Sb Ir
4 2 2
Direct
0.1671 0.2500 0.3998
0.2485 0.7500 0.0492
0.7515 0.2500 0.9508
0.8329 0.7500 0.6002
0.3871 0.7500 0.7085
0.6129 0.2500 0.2915
0.1230 0.2500 0.7904
0.8770 0.7500 0.2096
```

Output
E in eV/atom: -6.5144
E above lowest polymorph in eV per atom: 0.0000
Energy relative to the elements, uncorrected in eV/atom: -0.95
M_tot in μB/cell: 0.0

# 3
Material: NbFe4Mo
Method: DFT, PBE
State: optimized geometry

The structure in POSCAR format:
```
NbFe4Mo
1.0
0.0000 3.3732 3.3732
3.3732 0.0000 3.3732
3.3732 3.3732 0.0000
Nb Fe Mo
1 4 1
Direct
0.0000 0.0000 0.0000
0.1255 0.6248 0.6248
0.6248 0.1255 0.6248
0.6248 0.6248 0.1255
0.6248 0.6248 0.6248
0.2500 0.2500 0.2500
```

Output
E in eV/atom: -9.1767
M_tot in μB/cell: 5.2

# 4
Material: BaCeTaO6
Method: DFT, PBE
State: optimized geometry

The structure in POSCAR format:
```
BaCeTaO6
1.0
5.7501 0.0000 0.0000
-2.8750 4.9797 0.0000
0.0000 0.0000 11.1923
Ba Ce Ta O
2 2 2 12
Direct
0.0000 0.0000 0.0000
0.0000 0.0000 0.5000
0.3333 0.6667 0.2500
0.6667 0.3333 0.7500
0.3333 0.6667 0.7500
0.6667 0.3333 0.2500
0.0289 0.3958 0.6494
0.0289 0.6332 0.8506
0.3668 0.3958 0.8506
0.3668 0.9711 0.6494
0.3958 0.0289 0.1494
0.3958 0.3668 0.3506
0.6042 0.6332 0.6494
0.6042 0.9711 0.8506
0.6332 0.0289 0.3506
0.6332 0.6042 0.1494
0.9711 0.3668 0.1494
0.9711 0.6042 0.3506
```

Output
E in eV/atom: -8.3122
Energy relative to the elements, uncorrected in eV/atom: -2.82
M_tot in μB/cell: 2.2

# 5
Material: Ho4Sb6O19
Method: DFT, PBE
State: optimized geometry

The structure in POSCAR format:
```
Ho4Sb6O19
1.0
8.0699 0.0000 0.0000
-2.5214 7.6732 0.0000
-2.9626 -3.6795 6.6755
Ho Sb O
4 6 19
Direct
0.0000 0.0000 0.0000
0.0018 0.2614 0.7158
0.2703 0.9671 0.6928
0.7251 0.6829 0.4090
0.1450 0.5004 0.3918
0.3241 0.8037 0.2035
0.4799 0.3013 0.5263
0.5005 0.6363 0.8816
0.6537 0.1324 0.2036
0.8329 0.4351 0.0148
0.0003 0.9793 0.7044
0.0085 0.6889 0.4446
0.0388 0.7340 0.0574
0.2295 0.2447 0.3060
0.2786 0.5795 0.9515
0.3285 0.7017 0.6928
0.3466 0.3256 0.7045
0.3478 0.9743 0.0640
0.3521 0.0102 0.4561
0.3996 0.6643 0.3504
0.5854 0.1915 0.9787
0.6189 0.3606 0.3706
0.6255 0.6037 0.7035
0.6330 0.9649 0.3417
0.6628 0.6065 0.1028
0.7146 0.9303 0.0357
0.7341 0.3172 0.7136
0.9370 0.2872 0.4281
0.9702 0.2479 0.9641
```

Output
E in eV/atom: -6.7618
Energy relative to the elements, uncorrected in eV/atom: -2.03
M_tot in μB/cell: 0.0

# 6
Material: Ni2AuSe
Method: DFT, PBE
State: optimized geometry

The structure in POSCAR format:
```
Ni2AuSe
1.0
4.4936 0.0000 0.0000
0.0000 4.4936 0.0000
0.0000 0.0000 2.8820
Ni Au Se
2 1 1
Direct
0.0000 0.5000 0.0000
0.5000 0.0000 0.0000
0.0000 0.0000 0.5000
0.5000 0.5000 0.5000
```

Output
E in eV/atom: -4.4202
Energy relative to the elements, uncorrected in eV/atom: 0.16
M_tot in μB/cell: 0.0

# 7
Material: AsRuAu2N
Method: DFT, PBE
State: optimized geometry

The structure in POSCAR format:
```
AsRuAu2N
1.0
5.1829 0.0000 0.0000
0.0000 5.1829 0.0000
0.0000 0.0000 4.5704
As Ru Au N
1 1 2 1
Direct
0.0000 0.0000 0.0000
0.0000 0.0000 0.5000
0.0000 0.5000 0.5000
0.5000 0.0000 0.5000
0.5000 0.5000 0.0000
```

Output
E in eV/atom: -4.0997
Energy relative to the elements, uncorrected in eV/atom: 1.66
M_tot in μB/cell: 3.6

# 8
Material: PrEuCo
Method: DFT, PBE
State: optimized geometry

The structure in POSCAR format:
```
PrEuCo
1.0
3.5279 0.0000 0.0000
0.0000 3.5279 0.0000
0.0000 0.0000 13.2463
Pr Eu Co
2 2 2
Direct
0.0000 0.0000 0.0000
0.5000 0.5000 0.5000
0.0000 0.0000 0.7472
0.5000 0.5000 0.2472
0.0000 0.0000 0.3834
0.5000 0.5000 0.8834
```

Output
E in eV/atom: -7.3004
E above lowest polymorph in eV per atom: 0.0000
M_tot in μB/cell: 13.2

# 9
Material: Sm3TmGe4
Method: DFT, PBE
State: optimized geometry

The structure in POSCAR format:
```
Sm3TmGe4
1.0
4.1253 0.0000 0.0000
0.0000 6.3820 0.0000
0.0000 0.0000 15.9365
Sm Tm Ge
6 2 8
Direct
0.0000 0.0000 0.0000
0.0000 0.5000 0.1951
0.0000 0.5000 0.8049
0.5000 0.0000 0.3049
0.5000 0.0000 0.6951
0.5000 0.5000 0.5000
0.0000 0.0000 0.5000
0.5000 0.5000 0.0000
0.0000 0.3057 0.3703
0.0000 0.3057 0.6297
0.0000 0.6943 0.3703
0.0000 0.6943 0.6297
0.5000 0.1943 0.1297
0.5000 0.1943 0.8703
0.5000 0.8057 0.1297
0.5000 0.8057 0.8703
```

Output
E in eV/atom: -5.3250
M_tot in μB/cell: 0.0

# 10
Material: Ac5ScIn6
Method: DFT, PBE
State: optimized geometry

The structure in POSCAR format:
```
Ac5ScIn6
1.0
8.7583 -3.8228 0.0000
8.7583 3.8228 0.0000
-1.0099 0.0000 5.7885
Ac Sc In
5 1 6
Direct
0.0000 0.0000 0.0000
0.1616 0.1616 0.6709
0.3188 0.3188 0.2872
0.6812 0.6812 0.7128
0.8384 0.8384 0.3291
0.5000 0.5000 0.0000
0.1290 0.5679 0.8079
0.2946 0.7054 0.5000
0.4321 0.8710 0.1921
0.5679 0.1290 0.8079
0.7054 0.2946 0.5000
0.8710 0.4321 0.1921
```

Output
E in eV/atom: -3.9992
M_tot in μB/cell: 0.0

# 11
Material: Pm4AsS3
Method: DFT, PBE
State: optimized geometry

The structure in POSCAR format:
```
Pm4AsS3
1.0
5.7810 0.0000 0.0000
0.0000 5.7810 0.0000
0.0000 0.0000 5.7810
Pm As S
4 1 3
Direct
0.0000 0.0000 0.0000
0.0000 0.5000 0.5000
0.5000 0.0000 0.5000
0.5000 0.5000 0.0000
0.5000 0.5000 0.5000
0.0000 0.0000 0.5000
0.0000 0.5000 0.0000
0.5000 0.0000 0.0000
```

Output
E in eV/atom: -6.4316
Energy relative to the elements, uncorrected in eV/atom: -1.93
M_tot in μB/cell: 0.0

# 12
Material: Tm6Zn5Pt
Method: DFT, PBE
State: optimized geometry

The structure in POSCAR format:
```
Tm6Zn5Pt
1.0
2.4754 -7.4298 0.0000
2.4754 7.4298 0.0000
0.0000 0.0000 7.0080
Tm Zn Pt
6 5 1
Direct
0.0000 0.0000 0.2435
0.0000 0.0000 0.7565
0.3366 0.6634 0.2482
0.3366 0.6634 0.7518
0.6634 0.3366 0.2482
0.6634 0.3366 0.7518
0.1681 0.8319 0.5000
0.1739 0.8261 0.0000
0.5000 0.5000 0.5000
0.8261 0.1739 0.0000
0.8319 0.1681 0.5000
0.5000 0.5000 0.0000
```

Output
E in eV/atom: -3.7993
M_tot in μB/cell: 0.0